Material: Y3B6Os8
Method: DFT, PBE
State: optimized geometry

Cell: 5.5182 9.5653 17.6698 Å, 90.00 90.00 90.00°
Space group Fmmm (No. 69)
Symmetry-distinct sites (fractional):
1 Y 0.0000 0.0000 0.0000 x4
2 Y 0.0000 0.0000 0.1798 x8
3 B 0.0000 0.1492 0.3250 x16
4 B 0.0000 0.1820 0.5000 x8
5 Os 0.0000 0.0000 0.4201 x8
6 Os 0.2500 0.2500 0.0901 x16
7 Os 0.2500 0.2500 0.2500 x8

## Properties
- Electronic total energy: -155.606 eV/f.u.